No. 1
# LaPrBi4Au2

A geometry-optimized LaPrBi4Au2 structure (PBE-GGA, OQMD).

Output
SG	P4mm (99)
total magnetic moment	0.0	μB/f.u.

```
LaPrBi4Au2
1.0
4.678 0.000 0.000
0.000 4.678 0.000
0.000 0.000 10.158
La Pr Bi Au
1 1 4 2
Direct
0.000 0.000 0.000
0.500 0.500 0.527
0.000 0.000 0.576
0.000 0.500 0.265
0.500 0.000 0.265
0.500 0.500 0.948
0.000 0.500 0.762
0.500 0.000 0.762
```

=====

No. 2
# La2SnBiAu4

A geometry-optimized La2SnBiAu4 structure (PBE-GGA, OQMD).

Output
SG	P-3m1 (164)
total magnetic moment	0.0	μB/f.u.

```
La2SnBiAu4
1.0
4.907 0.000 0.000
-2.454 4.250 0.000
0.000 0.000 9.652
La Sn Bi Au
2 1 1 4
Direct
0.333 0.667 0.250
0.667 0.333 0.750
0.000 0.000 0.500
0.000 0.000 0.000
0.333 0.667 0.591
0.333 0.667 0.888
0.667 0.333 0.112
0.667 0.333 0.409
```

=====

No. 3
# LaTbBi4Au2

A geometry-optimized LaTbBi4Au2 structure (PBE-GGA, OQMD).

Output
SG	P4mm (99)
total magnetic moment	0.0	μB/f.u.

```
LaTbBi4Au2
1.0
4.660 0.000 0.000
0.000 4.660 0.000
0.000 0.000 10.001
La Tb Bi Au
1 1 4 2
Direct
0.000 0.000 0.000
0.500 0.500 0.537
0.000 0.000 0.566
0.000 0.500 0.272
0.500 0.000 0.272
0.500 0.500 0.952
0.000 0.500 0.755
0.500 0.000 0.755
```

=====

No. 4
# Li6BiAu

A geometry-optimized Li6BiAu structure (PBE-GGA, OQMD).

Output
SG	P4/mmm (123)

```
Li6BiAu
1.0
4.484 0.000 0.000
0.000 4.484 0.000
0.000 0.000 6.434
Li Bi Au
6 1 1
Direct
0.000 0.000 0.000
0.000 0.500 0.237
0.000 0.500 0.763
0.500 0.000 0.237
0.500 0.000 0.763
0.500 0.500 0.500
0.000 0.000 0.500
0.500 0.500 0.000
```

=====

No. 5
# LiBiAu3

A geometry-optimized LiBiAu3 structure (PBE-GGA, OQMD).

Output
SG	Pm-3m (221)

```
LiBiAu3
1.0
5.483 0.000 0.000
0.000 5.483 0.000
0.000 0.000 5.483
Li Bi Au
1 1 3
Direct
0.000 0.000 0.000
0.500 0.500 0.500
0.000 0.500 0.500
0.500 0.000 0.500
0.500 0.500 0.000
```

=====

No. 6
# Li2BiAu2

A geometry-optimized Li2BiAu2 structure (PBE-GGA, OQMD).

Output
offset from the most stable computed form	0.0	meV/atom
SG	P4/mbm (127)

```
Li2BiAu2
1.0
7.687 0.000 0.000
0.000 7.687 0.000
0.000 0.000 3.230
Li Bi Au
4 2 4
Direct
0.161 0.339 0.000
0.339 0.839 0.000
0.661 0.161 0.000
0.839 0.661 0.000
0.000 0.000 0.500
0.500 0.500 0.500
0.132 0.632 0.500
0.368 0.132 0.500
0.632 0.868 0.500
0.868 0.368 0.500
```

=====

No. 7
# Li2BiAu2

A geometry-optimized Li2BiAu2 structure (PBE-GGA, OQMD).

Output
offset from the most stable computed form	168.5	meV/atom
SG	I4/mmm (139)

```
Li2BiAu2
1.0
4.082 0.000 0.000
0.000 4.082 0.000
0.000 0.000 12.008
Li Bi Au
4 2 4
Direct
0.000 0.500 0.250
0.000 0.500 0.750
0.500 0.000 0.250
0.500 0.000 0.750
0.000 0.000 0.000
0.500 0.500 0.500
0.000 0.000 0.385
0.000 0.000 0.615
0.500 0.500 0.115
0.500 0.500 0.885
```

=====

No. 8
# LiBi2Au

A geometry-optimized LiBi2Au structure (PBE-GGA, OQMD).

Output
SG	F-43m (216)

```
LiBi2Au
1.0
7.403 0.000 0.000
0.000 7.403 0.000
0.000 0.000 7.403
Li Bi Au
4 8 4
Direct
0.000 0.000 0.000
0.000 0.500 0.500
0.500 0.000 0.500
0.500 0.500 0.000
0.000 0.000 0.500
0.000 0.500 0.000
0.250 0.250 0.750
0.250 0.750 0.250
0.500 0.000 0.000
0.500 0.500 0.500
0.750 0.250 0.250
0.750 0.750 0.750
0.250 0.250 0.250
0.250 0.750 0.750
0.750 0.250 0.750
0.750 0.750 0.250
```

=====

No. 9
# LiNiBiAu

A geometry-optimized LiNiBiAu structure (PBE-GGA, OQMD).

Output
SG	F-43m (216)
total magnetic moment	0.0	μB/f.u.

```
LiNiBiAu
1.0
6.469 0.000 0.000
0.000 6.469 0.000
0.000 0.000 6.469
Li Ni Bi Au
4 4 4 4
Direct
0.000 0.000 0.000
0.000 0.500 0.500
0.500 0.000 0.500
0.500 0.500 0.000
0.000 0.000 0.500
0.000 0.500 0.000
0.500 0.000 0.000
0.500 0.500 0.500
0.250 0.250 0.250
0.250 0.750 0.750
0.750 0.250 0.750
0.750 0.750 0.250
0.250 0.250 0.750
0.250 0.750 0.250
0.750 0.250 0.250
0.750 0.750 0.750
```

=====

No. 10
# Li4BiAuO6

A geometry-optimized Li4BiAuO6 structure (PBE-GGA, OQMD).

Output
SG	C2 (5)

```
Li4BiAuO6
1.0
2.681 -4.744 0.000
2.681 4.744 0.000
-1.620 0.000 4.982
Li Bi Au O
4 1 1 6
Direct
0.000 0.000 0.000
0.161 0.839 0.500
0.497 0.503 0.500
0.850 0.150 0.500
0.659 0.341 0.000
0.330 0.670 0.000
0.085 0.427 0.228
0.254 0.228 0.743
0.441 0.112 0.264
0.573 0.915 0.772
0.772 0.746 0.257
0.888 0.559 0.736
```

=====

No. 11
# RbLiBiAu

A geometry-optimized RbLiBiAu structure (PBE-GGA, OQMD).

Output
offset from the most stable computed form	72.2	meV/atom
SG	F-43m (216)

```
RbLiBiAu
1.0
7.523 0.000 0.000
0.000 7.523 0.000
0.000 0.000 7.523
Rb Li Bi Au
4 4 4 4
Direct
0.000 0.000 0.000
0.000 0.500 0.500
0.500 0.000 0.500
0.500 0.500 0.000
0.250 0.250 0.250
0.250 0.750 0.750
0.750 0.250 0.750
0.750 0.750 0.250
0.250 0.250 0.750
0.250 0.750 0.250
0.750 0.250 0.250
0.750 0.750 0.750
0.000 0.000 0.500
0.000 0.500 0.000
0.500 0.000 0.000
0.500 0.500 0.500
```

=====

No. 12
# RbLiBiAu

A geometry-optimized RbLiBiAu structure (PBE-GGA, OQMD).

Output
offset from the most stable computed form	0.0	meV/atom
SG	F-43m (216)

```
RbLiBiAu
1.0
7.527 0.000 0.000
0.000 7.527 0.000
0.000 0.000 7.527
Rb Li Bi Au
4 4 4 4
Direct
0.000 0.000 0.000
0.000 0.500 0.500
0.500 0.000 0.500
0.500 0.500 0.000
0.250 0.250 0.250
0.250 0.750 0.750
0.750 0.250 0.750
0.750 0.750 0.250
0.000 0.000 0.500
0.000 0.500 0.000
0.500 0.000 0.000
0.500 0.500 0.500
0.250 0.250 0.750
0.250 0.750 0.250
0.750 0.250 0.250
0.750 0.750 0.750
```

=====

Number 1: VASP energy -4.679 eV/atom, calculated volume 27.8 A^3/atom. Number 2: VASP energy -4.610 eV/atom, calculated volume 25.2 A^3/atom. Number 3: VASP energy -4.627 eV/atom, calculated volume 27.1 A^3/atom. Number 4: VASP energy -2.779 eV/atom, calculated volume 16.2 A^3/atom. Number 5: VASP energy -2.857 eV/atom, calculated volume 33.0 A^3/atom. Number 6: VASP energy -3.302 eV/atom, calculated volume 19.1 A^3/atom. Number 7: VASP energy -3.134 eV/atom, calculated volume 20.0 A^3/atom. Number 8: VASP energy -3.428 eV/atom, calculated volume 25.4 A^3/atom. Number 9: VASP energy -3.884 eV/atom, calculated volume 16.9 A^3/atom. Number 10: VASP energy -4.927 eV/atom, calculated volume 10.6 A^3/atom. Number 11: VASP energy -2.635 eV/atom, calculated volume 26.6 A^3/atom. Number 12: VASP energy -2.707 eV/atom, calculated volume 26.7 A^3/atom.